A geometry-optimized KPm2H structure, computed with PBE.

POSCAR file:
```
KPm2H
1.0
3.7151 0.0000 0.0000
1.8575 3.2173 0.0000
1.8575 1.0724 10.4246
H Pm K
1 2 1
direct
0.5000 0.5000 0.5000 H
0.8773 0.8773 0.3682 Pm
0.1227 0.1227 0.6318 Pm
0.0000 0.0000 0.0000 K
```

Calculated values
Uncorrected energy = -3.4621 eV per atom
Symmetry = No. 166
V = 125 Å³/cell
ρ = 4.40 g cm⁻³